NaSnI3 | GGA-PBE | relaxed

a b c (Å): 5.797 5.797 5.797
angles (deg): 90.00 90.00 90.00
Positions (direct):
Na 0.000 0.000 0.000
Sn 0.500 0.500 0.500
I 0.000 0.000 0.500
I 0.000 0.500 0.000
I 0.500 0.000 0.000

Properties
Formation energy without anion corrections in kcal/mol of atoms: -5.90
Density in g cm⁻³: 4.5
Crystal system: cubic

***

K2ReBr | GGA-PBE | relaxed

a b c (Å): 3.728 8.179 10.107
angles (deg): 75.66 79.68 89.59
Positions (direct):
K 0.000 0.000 0.000
K 0.019 0.478 0.981
K 0.193 0.085 0.614
K 0.751 0.637 0.511
Re 0.346 0.993 0.301
Re 0.844 0.166 0.300
Br 0.593 0.789 0.820
Br 0.609 0.302 0.783

Properties
Formation energy without anion corrections in kcal/mol of atoms: -2.69
Density in g cm⁻³: 3.9
Crystal system: triclinic